{"formula": "In2FeTcIr", "functional": "SCAN", "state": "single point on PBEsol structure", "lattice": [[4.667, 0.000, 0.000], [0.000, 4.960, 0.000], [0.000, 0.000, 4.960]], "species": ["Fe", "Ir", "Tc", "In", "In"], "fractional_positions": [[0.500, 0.000, 0.000], [0.000, 0.000, 0.000], [0.500, 0.500, 0.500], [0.000, 0.000, 0.500], [0.000, 0.500, 0.000]], "dos_at_fermi_per_ev_atom": 0.74, "sg": "P4/mmm, No. 123", "energy_ev_per_cell": -185.98}